1.
Material: HfWIN2
Method: DFT, PBE
State: optimized geometry

Results
ΔE to the lowest computed polymorph = 0.421 eV/atom
energy relative to the elements, uncorrected = 1.275 eV per atom

Cell: 4.169 4.169 5.907 Å, 90.00 90.00 90.00°
Fractional positions:
I: 0.000 0.000 0.500
Hf: 0.000 0.000 0.000
W: 0.500 0.500 0.500
N: 0.000 0.500 0.000
N: 0.500 0.000 0.000

2.
Material: Pr8Rh3NCl4
Method: DFT, PBE
State: optimized geometry

Results
energy relative to the elements, uncorrected = -1.173 eV per atom

Cell: 8.053 8.888 8.055 Å, 116.98 119.99 90.00°
Fractional positions:
Pr: 0.220 0.698 0.978
Pr: 0.221 0.698 0.442
Pr: 0.263 0.290 0.526
Pr: 0.757 0.698 0.978
Pr: 0.243 0.302 0.022
Pr: 0.737 0.710 0.474
Pr: 0.779 0.302 0.558
Pr: 0.780 0.302 0.022
Rh: 0.500 0.500 0.000
Rh: 0.500 0.500 0.500
Rh: 0.000 0.500 0.500
N: 0.000 0.500 0.000
Cl: 0.500 0.000 0.000
Cl: 0.500 0.000 0.500
Cl: 0.000 0.000 0.000
Cl: 0.000 0.000 0.500

3.
Material: CrFe2HRu
Method: DFT, PBE
State: optimized geometry

Results
ΔE to the lowest computed polymorph = 0.029 eV/atom

Cell: 3.601 3.601 3.704 Å, 90.00 90.00 90.00°
Fractional positions:
Ru: 0.500 0.500 0.500
Fe: 0.000 0.500 0.000
Fe: 0.500 0.000 0.000
H: 0.000 0.000 0.000
Cr: 0.000 0.000 0.500

4.
Material: Ho5GaBi2
Method: DFT, PBE
State: optimized geometry

Results
energy of formation = -281 meV/atom

Cell: 5.760 6.441 14.152 Å, 90.00 90.00 116.56°
Fractional positions:
Ho: 0.922 0.845 0.897
Ho: 0.922 0.845 0.603
Ho: 0.377 0.754 0.448
Ho: 0.377 0.754 0.052
Ho: 0.563 0.127 0.250
Ho: 0.437 0.873 0.750
Ho: 0.623 0.246 0.552
Ho: 0.623 0.246 0.948
Ho: 0.078 0.155 0.103
Ho: 0.078 0.155 0.397
Ga: 0.720 0.440 0.750
Ga: 0.280 0.560 0.250
Bi: 0.798 0.596 0.378
Bi: 0.798 0.596 0.122
Bi: 0.202 0.404 0.622
Bi: 0.202 0.404 0.878

5.
Material: BaTaS2
Method: DFT, PBE
State: optimized geometry

Results
ΔE to the lowest computed polymorph = 0.294 eV/atom
energy relative to the elements, uncorrected = -0.432 eV per atom

Cell: 8.352 8.352 8.352 Å, 31.43 31.43 31.43°
Fractional positions:
S: 0.903 0.903 0.903
S: 0.097 0.097 0.097
Ba: 0.500 0.500 0.500
Ta: 0.000 0.000 0.000

6.
Material: Rb6CeI12
Method: DFT, PBE
State: optimized geometry

Results
energy relative to the elements, uncorrected = -1.180 eV per atom

Cell: 10.302 10.302 10.302 Å, 97.71 97.71 97.71°
Fractional positions:
Rb: 0.155 0.279 0.630
Rb: 0.721 0.370 0.845
Rb: 0.370 0.845 0.721
Rb: 0.845 0.721 0.370
Rb: 0.279 0.630 0.155
Rb: 0.630 0.155 0.279
Ce: 0.000 0.000 0.000
I: 0.470 0.155 0.578
I: 0.155 0.578 0.470
I: 0.578 0.470 0.155
I: 0.530 0.845 0.422
I: 0.845 0.422 0.530
I: 0.422 0.530 0.845
I: 0.015 0.939 0.704
I: 0.296 0.985 0.061
I: 0.061 0.296 0.985
I: 0.985 0.061 0.296
I: 0.704 0.015 0.939
I: 0.939 0.704 0.015

7.
Material: Tb4Nd4Y3
Method: DFT, PBE
State: optimized geometry

Results
ΔE to the lowest computed polymorph = 0.000 eV/atom
energy of formation = 16 meV/atom

Cell: 3.607 5.103 20.086 Å, 97.29 95.17 90.03°
Fractional positions:
Tb: 0.091 0.091 0.183
Tb: 0.272 0.273 0.545
Tb: 0.727 0.727 0.455
Tb: 0.909 0.909 0.817
Nd: 0.546 0.546 0.092
Nd: 0.454 0.454 0.908
Nd: 0.818 0.818 0.635
Nd: 0.182 0.182 0.364
Y: 0.636 0.636 0.272
Y: 0.364 0.364 0.728
Y: 0.000 0.000 0.000

8.
Material: HgMo2
Method: DFT, PBE
State: optimized geometry

Results
ΔE to the lowest computed polymorph = 0.065 eV/atom
energy of formation = 469 meV/atom

Cell: 4.637 4.637 2.782 Å, 90.00 90.00 120.00°
Fractional positions:
Hg: 0.000 0.000 0.000
Mo: 0.667 0.333 0.388
Mo: 0.333 0.667 0.612

| no. | density of states at the Fermi level (states/eV/atom) | size of the total moment (μB/cell) |
| --- | --- | --- |
| 1 | 0.79 | 3.8 |
| 2 | 0.62 | 0.6 |
| 3 | 1.11 | 0.0 |
| 4 | 1.01 | 0.0 |
| 5 | 0.44 | 1.2 |
| 6 | 0.40 | 2.5 |
| 7 | 1.33 | 0.0 |
| 8 | 0.53 | 0.0 |